## CaWO2 (PBE+U)

Data for a relaxed structure of CaWO2.

Summary:
- Excess energy over the best structure of this formula in the dataset: 312 meV/atom
- Mass density: 6546 kg/m3
- SG: R-3m

Cell and atoms, written as POSCAR:
```
CaWO2
1.0
1.7434 1.0065 6.1658
-1.7434 1.0065 6.1658
0.0000 -2.0130 6.1658
Ca W O
1 1 2
Direct
0.0000 0.0000 0.0000
0.5000 0.5000 0.5000
0.1188 0.1188 0.1188
0.8812 0.8812 0.8812
```